The following is a DFT calculation (GGA-PBE) of a relaxed YZnFeRe crystal.

Cell: 6.4929 6.4929 6.4929 Å, 90.00 90.00 90.00°
Closest atoms and distances in Å follow each position.
Space group F-43m (No. 216)
Inequivalent atoms, fractional coordinates:
Y 0.0000 0.0000 0.0000  4 Zn 2.81, 4 Re 2.81
Zn 0.2500 0.2500 0.2500  4 Fe 2.81, 4 Y 2.81
Fe 0.0000 0.0000 0.5000  4 Re 2.81, 4 Zn 2.81
Re 0.2500 0.2500 0.7500  4 Fe 2.81, 4 Y 2.81

Values from the calculation:
energy relative to the lowest polymorph listed for this composition: 0 kJ/mol of formula units
crystal system: cubic

The following is a DFT calculation (GGA-PBE) of a relaxed YZnFeRe crystal.

Cell: 6.4660 6.4660 6.4660 Å, 90.00 90.00 90.00°
Closest atoms and distances in Å follow each position.
Space group F-43m (No. 216)
Inequivalent atoms, fractional coordinates:
Y 0.0000 0.0000 0.0000  4 Fe 2.80, 4 Re 2.80
Zn 0.0000 0.0000 0.5000  4 Fe 2.80, 4 Re 2.80
Fe 0.2500 0.2500 0.7500  4 Zn 2.80, 4 Y 2.80
Re 0.2500 0.2500 0.2500  4 Zn 2.80, 4 Y 2.80

Values from the calculation:
energy relative to the lowest polymorph listed for this composition: 41 kJ/mol of formula units
crystal system: cubic

The following is a DFT calculation (GGA-PBE) of a relaxed ZrFeRe2 crystal.

Cell: 6.2811 6.2811 6.2811 Å, 90.00 90.00 90.00°
Closest atoms and distances in Å follow each position.
Space group F-43m (No. 216)
Inequivalent atoms, fractional coordinates:
Zr 0.0000 0.0000 0.0000  4 Re 2.72, 4 Fe 2.72
Fe 0.2500 0.2500 0.7500  4 Zr 2.72, 4 Re 2.72
Re 0.0000 0.0000 0.5000  4 Fe 2.72, 4 Re 2.72
Re 0.2500 0.2500 0.2500  4 Re 2.72, 4 Zr 2.72

Values from the calculation:
VASP energy: -10.448 eV per atom
crystal system: cubic

The following is a DFT calculation (GGA-PBE) of a relaxed Fe7S8 crystal.

Cell: 11.2081 6.6620 11.4457 Å, 90.00 115.76 90.00°
Closest atoms and distances in Å follow each position.
Space group C2/c (No. 15)
Inequivalent atoms, fractional coordinates:
Fe 0.0000 0.1989 0.2500  6 S 2.15-2.37
Fe 0.0890 0.3064 0.9697  5 S 2.10-2.28
Fe 0.1069 0.1039 0.4994  6 S 2.19-2.44
Fe 0.2244 0.3991 0.2300  6 S 2.17-2.36
S 0.0119 0.4044 0.1108  4 Fe 2.15-2.23
S 0.0422 0.0917 0.6541  3 Fe 2.10-2.24
S 0.2269 0.1501 0.3719  5 Fe 2.24-2.44
S 0.2341 0.3601 0.8816  5 Fe 2.26-2.36

Values from the calculation:
VASP energy: -6.464 eV per atom
crystal system: monoclinic

The following is a DFT calculation (GGA-PBE) of a relaxed FeS2 crystal.

Cell: 9.4938 9.4938 9.4938 Å, 90.00 90.00 90.00°
Closest atoms and distances in Å follow each position.
Space group Fd-3m (No. 227, origin choice 2)
Inequivalent atoms, fractional coordinates:
Fe 0.1250 0.1250 0.1250  4 S 2.06
S 0.0000 0.0000 0.0000  2 Fe 2.06

Values from the calculation:
VASP energy: -5.449 eV per atom
crystal system: cubic

The following is a DFT calculation (GGA-PBE) of a relaxed FeS13 crystal.

Cell: 18.6000 8.0519 4.4268 Å, 90.00 90.41 90.00°
Closest atoms and distances in Å follow each position.
Space group C2/m (No. 12)
Inequivalent atoms, fractional coordinates:
Fe 0.0000 0.0000 0.0000  6 S 2.21-2.36
S 0.0000 0.0000 0.5000  2 Fe 2.21
S 0.0489 0.5000 0.5630  1 S 1.90
S 0.0868 0.2117 0.9436  1 S 2.02
S 0.1680 0.1965 0.2474  2 S 2.02-2.09
S 0.2318 0.0000 0.0973  2 S 2.09

Values from the calculation:
VASP energy: -4.238 eV per atom
crystal system: monoclinic

| no. | calculated density (g/cm3) |
| --- | --- |
| 1 | 9.62 |
| 2 | 9.74 |
| 3 | 13.92 |
| 4 | 5.59 |
| 5 | 1.86 |
| 6 | 2.37 |